Arrangement A

{"formula": "NdHoTm3", "functional": "PBE", "state": "relaxed", "cell": [[9.2716, -0.0001, -2.2705], [0.0001, 5.6028, 0.0013], [-0.5746, 0.0016, 6.2230]], "species": ["Nd", "Nd", "Ho", "Ho", "Tm", "Tm", "Tm", "Tm", "Tm", "Tm"], "fractional_positions": [[0.1998, 0.4482, 0.4321], [0.8002, 0.9480, 0.5679], [0.5994, 0.9515, 0.9658], [0.4006, 0.4509, 0.0342], [0.2017, 0.9499, 0.7689], [0.0005, 0.4488, 0.8359], [0.5983, 0.4519, 0.6345], [0.4017, 0.9514, 0.3655], [0.9995, 0.9491, 0.1641], [0.7983, 0.4502, 0.2311]], "total_magnetization_mub_per_fu": 0.0, "rho_g_cm3": 8.58}

---

Arrangement B

{"formula": "NdHoTm3", "functional": "PBE", "state": "relaxed", "cell": [[-3.4376, -0.1120, 1.0611], [3.5168, -5.9575, 4.9477], [2.1914, 7.8805, 7.9312]], "species": ["Nd", "Nd", "Ho", "Ho", "Tm", "Tm", "Tm", "Tm", "Tm", "Tm"], "fractional_positions": [[0.0824, 0.4844, 0.2500], [0.9176, 0.5156, 0.7500], [0.3454, 0.1362, 0.2500], [0.6546, 0.8638, 0.7500], [0.8344, 0.1825, 0.9998], [0.1656, 0.8175, 0.0002], [0.8344, 0.1825, 0.5002], [0.1656, 0.8175, 0.4998], [0.6949, 0.8225, 0.2500], [0.3051, 0.1775, 0.7500]], "total_magnetization_mub_per_fu": 0.0, "rho_g_cm3": 7.93}

---

Which is the most stable structure? arrangement A is the most stable.

---

Arrangement A

{"formula": "Nd3Ho2Tm", "functional": "PBE", "state": "relaxed", "cell": [[3.4891, 0.0000, 0.0000], [0.0000, 5.9344, 0.0000], [-1.7445, -2.9672, 9.7857]], "species": ["Nd", "Nd", "Nd", "Ho", "Ho", "Tm"], "fractional_positions": [[0.0000, 0.5000, 0.0000], [0.8112, 0.8112, 0.6225], [0.1888, 0.1888, 0.3775], [0.6368, 0.6368, 0.2736], [0.3632, 0.3632, 0.7264], [0.0000, 0.0000, 0.0000]], "total_magnetization_mub_per_fu": 0.0, "rho_g_cm3": 7.63}

---

Arrangement B

{"formula": "Nd3Ho2Tm", "functional": "PBE", "state": "relaxed", "cell": [[3.4914, 0.0000, 0.6277], [1.5664, 6.5202, 1.3113], [-1.3501, 0.0870, 17.5321]], "species": ["Nd", "Nd", "Nd", "Nd", "Nd", "Nd", "Ho", "Ho", "Ho", "Ho", "Tm", "Tm"], "fractional_positions": [[0.0682, 0.0326, 0.8310], [0.9318, 0.9674, 0.1690], [0.6276, 0.7350, 0.0098], [0.3724, 0.2650, 0.9902], [0.7363, 0.8653, 0.6620], [0.2637, 0.1347, 0.3380], [0.8037, 0.5587, 0.8338], [0.1963, 0.4413, 0.1662], [0.6315, 0.2367, 0.5002], [0.3685, 0.7633, 0.4998], [0.4601, 0.3982, 0.6817], [0.5399, 0.6018, 0.3183]], "total_magnetization_mub_per_fu": 0.0, "rho_g_cm3": 7.65}

---

Which is the most stable structure? arrangement B is the most stable.

---

Arrangement A

{"formula": "Nd8Ho4Tm3", "functional": "PBE", "state": "relaxed", "cell": [[6.8761, -0.0177, -0.0254], [-3.1796, 8.4688, 1.5107], [-3.1796, -1.5232, 8.4666]], "species": ["Nd", "Nd", "Nd", "Nd", "Nd", "Nd", "Nd", "Nd", "Ho", "Ho", "Ho", "Ho", "Tm", "Tm", "Tm"], "fractional_positions": [[0.2895, 0.2439, 0.2439], [0.0000, 0.7048, 0.2952], [0.8259, 0.2966, 0.2966], [0.5000, 0.7535, 0.2465], [0.5000, 0.2465, 0.7535], [0.1741, 0.7034, 0.7034], [0.0000, 0.2952, 0.7048], [0.7105, 0.7561, 0.7561], [0.5000, 0.0000, 0.0000], [0.0000, 0.5000, 0.0000], [0.0000, 0.0000, 0.0000], [0.0000, 0.0000, 0.5000], [0.5000, 0.5000, 0.0000], [0.5000, 0.0000, 0.5000], [0.5000, 0.5000, 0.5000]], "total_magnetization_mub_per_fu": 0.0, "rho_g_cm3": 7.59}

---

Arrangement B

{"formula": "Nd8Ho4Tm3", "functional": "PBE", "state": "relaxed", "cell": [[-3.1223, 5.3406, -3.2752], [-6.9861, 0.3192, -0.2997], [-3.5253, 8.0460, 9.0006]], "species": ["Nd", "Nd", "Nd", "Nd", "Nd", "Nd", "Nd", "Nd", "Ho", "Ho", "Ho", "Ho", "Tm", "Tm", "Tm"], "fractional_positions": [[0.2452, 0.2452, 0.2645], [0.2481, 0.7501, 0.2516], [0.7501, 0.7501, 0.2516], [0.7501, 0.2481, 0.2516], [0.7548, 0.7548, 0.7355], [0.7519, 0.2499, 0.7484], [0.2499, 0.2499, 0.7484], [0.2499, 0.7519, 0.7484], [0.0000, 0.0000, 0.0000], [0.3356, 0.3356, 0.9933], [0.5000, 0.5000, 0.5000], [0.6644, 0.6644, 0.0067], [0.5000, 0.0000, 0.5000], [0.0000, 0.0000, 0.5000], [0.0000, 0.5000, 0.5000]], "total_magnetization_mub_per_fu": 0.0, "rho_g_cm3": 7.62}

---

Which is the most stable structure? arrangement B is the most stable.

---

Arrangement A

{"formula": "NdHo5Tm4", "functional": "PBE", "state": "relaxed", "cell": [[-2.4090, 2.5689, -0.2793], [0.4053, -0.7136, -9.9045], [-2.9214, -9.6914, 3.0746]], "species": ["Nd", "Ho", "Ho", "Ho", "Ho", "Ho", "Tm", "Tm", "Tm", "Tm"], "fractional_positions": [[0.5000, 0.0000, 0.0000], [0.0987, 0.5993, 0.3990], [0.1012, 0.1008, 0.4007], [0.8988, 0.8992, 0.5993], [0.5000, 0.5000, 0.0000], [0.9013, 0.4007, 0.6010], [0.3031, 0.7984, 0.2020], [0.6980, 0.6977, 0.7989], [0.6969, 0.2016, 0.7980], [0.3020, 0.3023, 0.2011]], "total_magnetization_mub_per_fu": 0.0, "rho_g_cm3": 8.83}

---

Arrangement B

{"formula": "NdHo5Tm4", "functional": "PBE", "state": "relaxed", "cell": [[6.2892, 0.0000, 0.0000], [3.1446, 7.1408, 0.0000], [3.1446, 0.0000, 7.1408]], "species": ["Nd", "Ho", "Ho", "Ho", "Ho", "Ho", "Tm", "Tm", "Tm", "Tm"], "fractional_positions": [[0.2232, 0.0000, 0.0000], [0.8063, 0.3784, 0.9081], [0.1847, 0.9081, 0.6216], [0.7143, 0.0919, 0.3784], [0.0928, 0.6216, 0.0919], [0.6785, 0.0000, 0.0000], [0.4012, 0.4008, 0.7021], [0.8020, 0.7021, 0.5992], [0.1033, 0.2979, 0.4008], [0.5041, 0.5992, 0.2979]], "total_magnetization_mub_per_fu": 0.0, "rho_g_cm3": 8.52}

---

Which is the most stable structure? arrangement A is the most stable.

---

Arrangement A

{"formula": "Nd4Ho5Tm2", "functional": "PBE", "state": "relaxed", "cell": [[3.4970, 0.0000, 0.0000], [0.0000, 9.2396, 0.0000], [-1.7485, -4.6198, 11.4554]], "species": ["Nd", "Nd", "Nd", "Nd", "Ho", "Ho", "Ho", "Ho", "Ho", "Tm", "Tm"], "fractional_positions": [[0.0000, 0.2940, 0.0000], [0.5963, 0.5963, 0.1925], [0.0000, 0.7060, 0.0000], [0.4037, 0.4037, 0.8075], [0.8508, 0.0516, 0.7017], [0.8508, 0.6501, 0.7017], [0.1492, 0.3499, 0.2983], [0.1492, 0.9484, 0.2983], [0.5000, 0.0000, 0.0000], [0.2700, 0.2700, 0.5400], [0.7300, 0.7300, 0.4600]], "total_magnetization_mub_per_fu": 0.0, "rho_g_cm3": 7.80}

---

Arrangement B

{"formula": "Nd4Ho5Tm2", "functional": "PBE", "state": "relaxed", "cell": [[-5.4797, -1.0631, 0.7762], [1.5391, -5.6404, 3.1397], [2.9756, 5.3393, 7.8610]], "species": ["Nd", "Nd", "Nd", "Nd", "Ho", "Ho", "Ho", "Ho", "Ho", "Tm", "Tm"], "fractional_positions": [[0.3063, 0.9290, 0.6126], [0.9801, 0.7113, 0.9602], [0.6937, 0.0710, 0.3874], [0.0199, 0.2887, 0.0398], [0.7915, 0.5976, 0.5829], [0.2085, 0.4024, 0.4171], [0.8700, 0.1108, 0.7399], [0.5000, 0.0000, 0.0000], [0.1300, 0.8892, 0.2601], [0.4021, 0.4452, 0.8042], [0.5979, 0.5548, 0.1958]], "total_magnetization_mub_per_fu": 0.0, "rho_g_cm3": 8.09}

---

Which is the most stable structure? arrangement B is the most stable.

---

Arrangement A

{"formula": "Nd4HoTm6", "functional": "PBE", "state": "relaxed", "cell": [[7.4400, -2.8923, -5.4486], [-5.1378, 7.9704, 1.8659], [-1.8644, 2.8923, 9.0313]], "species": ["Nd", "Nd", "Nd", "Nd", "Ho", "Tm", "Tm", "Tm", "Tm", "Tm", "Tm"], "fractional_positions": [[0.0000, 0.6351, 0.0140], [0.3789, 0.3649, 0.3649], [0.0000, 0.0140, 0.6351], [0.6211, 0.9860, 0.9860], [0.0000, 0.0000, 0.0000], [0.0000, 0.8019, 0.4460], [0.0000, 0.4460, 0.8019], [0.3559, 0.5540, 0.5540], [0.5000, 0.5000, 0.0000], [0.6441, 0.1981, 0.1981], [0.5000, 0.0000, 0.5000]], "total_magnetization_mub_per_fu": 0.0, "rho_g_cm3": 7.85}

---

Arrangement B

{"formula": "Nd4HoTm6", "functional": "PBE", "state": "relaxed", "cell": [[7.6657, 0.0000, 0.0000], [0.0000, 7.6657, 0.0000], [-3.8329, -3.8329, 6.5315]], "species": ["Nd", "Nd", "Nd", "Nd", "Ho", "Tm", "Tm", "Tm", "Tm", "Tm", "Tm"], "fractional_positions": [[0.0992, 0.7466, 0.8458], [0.9008, 0.9008, 0.1542], [0.7466, 0.0992, 0.8458], [0.2534, 0.2534, 0.1542], [0.5000, 0.5000, 0.0000], [0.9239, 0.4378, 0.3617], [0.4378, 0.9239, 0.3617], [0.5622, 0.5622, 0.6383], [0.0000, 0.5000, 0.0000], [0.0761, 0.0761, 0.6383], [0.5000, 0.0000, 0.0000]], "total_magnetization_mub_per_fu": 0.0, "rho_g_cm3": 7.60}

---

Which is the most stable structure? arrangement A is the most stable.

---

Arrangement A

{"formula": "NdHo6Tm12", "functional": "PBE", "state": "relaxed", "cell": [[8.3583, 0.7202, 0.8627], [-0.5553, 8.3708, 0.8627], [-0.5553, -0.6470, 8.3903]], "species": ["Nd", "Ho", "Ho", "Ho", "Ho", "Ho", "Ho", "Tm", "Tm", "Tm", "Tm", "Tm", "Tm", "Tm", "Tm", "Tm", "Tm", "Tm", "Tm"], "fractional_positions": [[0.0000, 0.0000, 0.0000], [0.7453, 0.9108, 0.3177], [0.6823, 0.2547, 0.0892], [0.0892, 0.6823, 0.2547], [0.2547, 0.0892, 0.6823], [0.3177, 0.7453, 0.9108], [0.9108, 0.3177, 0.7453], [0.7709, 0.5462, 0.4366], [0.4366, 0.7709, 0.5462], [0.5462, 0.4366, 0.7709], [0.2291, 0.4538, 0.5634], [0.5634, 0.2291, 0.4538], [0.4538, 0.5634, 0.2291], [0.0063, 0.2172, 0.3528], [0.7828, 0.6472, 0.9937], [0.6472, 0.9937, 0.7828], [0.9937, 0.7828, 0.6472], [0.2172, 0.3528, 0.0063], [0.3528, 0.0063, 0.2172]], "total_magnetization_mub_per_fu": 0.0, "rho_g_cm3": 8.76}

---

Arrangement B

{"formula": "NdHo6Tm12", "functional": "PBE", "state": "relaxed", "cell": [[8.8171, -0.3316, -2.4604], [-3.1552, 8.2399, -2.4604], [-0.2374, -0.3316, 9.1509]], "species": ["Nd", "Ho", "Ho", "Ho", "Ho", "Ho", "Ho", "Tm", "Tm", "Tm", "Tm", "Tm", "Tm", "Tm", "Tm", "Tm", "Tm", "Tm", "Tm"], "fractional_positions": [[0.0000, 0.0000, 0.0000], [0.6885, 0.2832, 0.6885], [0.6885, 0.6885, 0.2832], [0.2832, 0.6885, 0.6885], [0.3115, 0.3115, 0.7168], [0.3115, 0.7168, 0.3115], [0.7168, 0.3115, 0.3115], [0.8880, 0.1120, 0.5000], [0.3474, 0.1174, 0.3474], [0.3474, 0.3474, 0.1174], [0.8826, 0.6526, 0.6526], [0.6526, 0.6526, 0.8826], [0.6526, 0.8826, 0.6526], [0.5000, 0.8880, 0.1120], [0.1120, 0.5000, 0.8880], [0.1120, 0.8880, 0.5000], [0.5000, 0.1120, 0.8880], [0.8880, 0.5000, 0.1120], [0.1174, 0.3474, 0.3474]], "total_magnetization_mub_per_fu": 0.0, "rho_g_cm3": 8.20}

---

Which is the most stable structure? arrangement A is the most stable.

---

Arrangement A

{"formula": "Nd4Ho2Tm3", "functional": "PBE", "state": "relaxed", "cell": [[-5.1793, 0.8035, 3.2738], [0.2805, -1.6546, 4.7957], [0.1761, 10.1615, 3.4872]], "species": ["Nd", "Nd", "Nd", "Nd", "Ho", "Ho", "Tm", "Tm", "Tm"], "fractional_positions": [[0.6671, 0.6664, 0.8882], [0.9970, 0.0016, 0.3332], [0.0030, 0.9984, 0.6668], [0.3329, 0.3336, 0.1118], [0.3368, 0.3316, 0.7752], [0.6632, 0.6684, 0.2248], [0.3318, 0.3342, 0.4463], [0.0000, 0.0000, 0.0000], [0.6682, 0.6658, 0.5537]], "total_magnetization_mub_per_fu": 0.0, "rho_g_cm3": 8.03}

---

Arrangement B

{"formula": "Nd4Ho2Tm3", "functional": "PBE", "state": "relaxed", "cell": [[-4.1806, 5.6787, 0.0205], [-6.2518, -4.5764, -5.9858], [-7.2998, -5.3828, 3.6874]], "species": ["Nd", "Nd", "Nd", "Nd", "Nd", "Nd", "Nd", "Nd", "Ho", "Ho", "Ho", "Ho", "Tm", "Tm", "Tm", "Tm", "Tm", "Tm"], "fractional_positions": [[0.4997, 0.8502, 0.1807], [0.0003, 0.8193, 0.1498], [0.5003, 0.1498, 0.8193], [0.9997, 0.1807, 0.8502], [0.9993, 0.1503, 0.5290], [0.5007, 0.4710, 0.8497], [0.0007, 0.8497, 0.4710], [0.4993, 0.5290, 0.1503], [0.4995, 0.1802, 0.4707], [0.0005, 0.5293, 0.8198], [0.5005, 0.8198, 0.5293], [0.9995, 0.4707, 0.1802], [0.7499, 0.1697, 0.1705], [0.7501, 0.8295, 0.8303], [0.2501, 0.8303, 0.8295], [0.2499, 0.1705, 0.1697], [0.2500, 0.4997, 0.5003], [0.7500, 0.5003, 0.4997]], "total_magnetization_mub_per_fu": 0.0, "rho_g_cm3": 8.03}

---

Which is the most stable structure? arrangement A is the most stable.

---

Arrangement A

{"formula": "Nd2Ho3Tm", "functional": "PBE", "state": "relaxed", "cell": [[5.5955, 0.0000, 0.0000], [-2.7978, 8.4503, -1.2848], [0.0000, -4.4405, 8.8972]], "species": ["Nd", "Nd", "Nd", "Nd", "Ho", "Ho", "Ho", "Ho", "Ho", "Ho", "Tm", "Tm"], "fractional_positions": [[0.5062, 0.0124, 0.8564], [0.4938, 0.9876, 0.1436], [0.7675, 0.5351, 0.1252], [0.2325, 0.4649, 0.8748], [0.2885, 0.5770, 0.5731], [0.9553, 0.9106, 0.6130], [0.6139, 0.2278, 0.6545], [0.3861, 0.7722, 0.3455], [0.0447, 0.0894, 0.3870], [0.7115, 0.4230, 0.4269], [0.8685, 0.7369, 0.8671], [0.1315, 0.2631, 0.1329]], "total_magnetization_mub_per_fu": 0.0, "rho_g_cm3": 8.13}

---

Arrangement B

{"formula": "Nd2Ho3Tm", "functional": "PBE", "state": "relaxed", "cell": [[3.5057, 0.0000, 0.7220], [0.5125, 9.4945, 6.3835], [-1.1681, 4.6690, 14.5442]], "species": ["Nd", "Nd", "Nd", "Nd", "Ho", "Ho", "Ho", "Ho", "Ho", "Ho", "Tm", "Tm"], "fractional_positions": [[0.8226, 0.5953, 0.7595], [0.1774, 0.4047, 0.2405], [0.5720, 0.4111, 0.4450], [0.4280, 0.5889, 0.5550], [0.0574, 0.1119, 0.7733], [0.9426, 0.8881, 0.2267], [0.6866, 0.7089, 0.9179], [0.3134, 0.2911, 0.0821], [0.8016, 0.9999, 0.3969], [0.1984, 0.0001, 0.6031], [0.4400, 0.2087, 0.9114], [0.5600, 0.7913, 0.0886]], "total_magnetization_mub_per_fu": 0.0, "rho_g_cm3": 8.12}

---

Which is the most stable structure? arrangement B is the most stable.

---

Arrangement A

{"formula": "NdHo4Tm7", "functional": "PBE", "state": "relaxed", "cell": [[-6.6923, -0.8560, -2.1899], [-5.4411, -6.6736, -3.7086], [-1.8059, -4.4629, 7.2739]], "species": ["Nd", "Ho", "Ho", "Ho", "Ho", "Tm", "Tm", "Tm", "Tm", "Tm", "Tm", "Tm"], "fractional_positions": [[0.0000, 0.0000, 0.0000], [0.5300, 0.7206, 0.3356], [0.4700, 0.2794, 0.6644], [0.7216, 0.7786, 0.6656], [0.2784, 0.2214, 0.3344], [0.7503, 0.4999, 0.9998], [0.2497, 0.5001, 0.0002], [0.9721, 0.2789, 0.6650], [0.0279, 0.7211, 0.3350], [0.2222, 0.7780, 0.6654], [0.5000, 0.0000, 0.0000], [0.7778, 0.2220, 0.3346]], "total_magnetization_mub_per_fu": 0.0, "rho_g_cm3": 8.93}

---

Arrangement B

{"formula": "NdHo4Tm7", "functional": "PBE", "state": "relaxed", "cell": [[-3.7550, -0.0077, -4.4107], [-5.5438, -9.9437, 0.9332], [-6.0138, 2.5493, 1.3116]], "species": ["Nd", "Ho", "Ho", "Ho", "Ho", "Tm", "Tm", "Tm", "Tm", "Tm", "Tm", "Tm"], "fractional_positions": [[0.0000, 0.0000, 0.0000], [0.6315, 0.2256, 0.5114], [0.3685, 0.7744, 0.4886], [0.7503, 0.6833, 0.8161], [0.2497, 0.3167, 0.1839], [0.7888, 0.9228, 0.4997], [0.2112, 0.0772, 0.5003], [0.0588, 0.6696, 0.2128], [0.9412, 0.3304, 0.7872], [0.3644, 0.5040, 0.7672], [0.5000, 0.0000, 0.0000], [0.6356, 0.4960, 0.2328]], "total_magnetization_mub_per_fu": 0.0, "rho_g_cm3": 8.59}

---

Which is the most stable structure? arrangement A is the most stable.